1.
Compound: K2CuSe
Source: Alexandria via LeMat-Bulk
Functional: PBE-GGA
Structure: optimized geometry

Calculated values
For the density of states at the Fermi level, the calculation gives 1.3 states/eV/cell. The calculation puts the uncorrected formation energy at -0.204 eV/atom. The total magnetization comes out at 0.00 μB per formula unit. For the energy, the calculation gives -2.648 eV per atom.

Unit cell a=5.685 b=5.685 c=5.685 alpha=125.99 beta=125.99 gamma=79.91
Element x y z (fractional)
K 0.250 0.750 0.500
K 0.750 0.250 0.500
Cu 0.000 0.000 0.000
Se 0.500 0.500 0.000

2.
Compound: K2CuSe
Source: Alexandria via LeMat-Bulk
Functional: PBE-GGA
Structure: optimized geometry

Calculated values
For the density of states at the Fermi level, the calculation gives 5.0 states/eV/cell. The calculation puts the uncorrected formation energy at -0.001 eV/atom. The total magnetization comes out at 1.06 μB per formula unit. For the energy, the calculation gives -2.445 eV per atom.

Unit cell a=4.748 b=4.748 c=6.671 alpha=90.00 beta=90.00 gamma=90.00
Element x y z (fractional)
K 0.000 0.000 0.000
K 0.500 0.500 0.465
Cu 0.500 0.500 0.949
Se 0.000 0.000 0.505

Q: Which of these has the highest energy?
A: number 2

Q: The highest energy belongs to which entry?
A: number 2

Q: total magnetization of number 2 (K2CuSe)?
A: 1.06 μB per formula unit

Q: What is the formula in the second record?
A: K2CuSe